# LaTe2As

A relaxed structure of LaTe2As (PBE, Alexandria).

Raw total energy   -4.682 eV/atom
Energy relative to the elements, uncorrected   -0.716 eV/atom
Fermi-level density of states   2.0 states/eV/cell
ρ   6.6 g cm⁻³
Spin magnetization   0.0 μB/cell

Lattice parameters (Å, degrees): 6.183 6.183 4.763 87.21 87.21 40.36
Atoms (fractional coordinates):
1 As 0.750 0.750 0.750
2 Te 0.965 0.965 0.013
3 Te 0.535 0.535 0.487
4 La 0.250 0.250 0.250

# Cd3BiF

A relaxed structure of Cd3BiF (PBE, Alexandria).

Excess energy over the best structure of this formula in the dataset   0 meV per atom
Raw total energy   -2.077 eV/atom
Energy relative to the elements, uncorrected   -0.377 eV/atom
Fermi-level density of states   1.5 states/eV/cell
ρ   7.8 g cm⁻³
Spin magnetization   0.0 μB/cell

Lattice parameters (Å, degrees): 4.928 4.928 4.928 90.00 90.00 90.00
Atoms (fractional coordinates):
1 F 0.000 0.000 0.000
2 Bi 0.500 0.500 0.500
3 Cd 0.000 0.500 0.000
4 Cd 0.000 0.000 0.500
5 Cd 0.500 0.000 0.000

# Ba8Ga2Pd

A relaxed structure of Ba8Ga2Pd (PBE, Alexandria).

Excess energy over the best structure of this formula in the dataset   0 meV per atom
Raw total energy   -2.649 eV/atom
Energy relative to the elements   -2.5 eV per formula unit
Fermi-level density of states   11.3 states/eV/cell
ρ   4.1 g cm⁻³
Spin magnetization   0.0 μB/cell

Lattice parameters (Å, degrees): 4.555 9.299 13.208 89.74 99.93 90.00
Atoms (fractional coordinates):
1 Pd 0.500 0.000 0.000
2 Ba 0.617 0.487 0.234
3 Ba 0.377 0.995 0.754
4 Ba 0.249 0.263 0.498
5 Ba 0.012 0.765 0.025
6 Ba 0.751 0.737 0.502
7 Ba 0.623 0.005 0.246
8 Ba 0.383 0.513 0.766
9 Ba 0.988 0.235 0.975
10 Ga 0.154 0.740 0.309
11 Ga 0.846 0.260 0.691

# Sc2MnCd2

A relaxed structure of Sc2MnCd2 (PBE, Alexandria).

Raw total energy   -4.383 eV/atom
Energy relative to the elements   1.7 eV per formula unit
Fermi-level density of states   18.8 states/eV/cell
ρ   5.9 g cm⁻³
Spin magnetization   0.0 μB/cell

Lattice parameters (Å, degrees): 6.970 6.970 4.276 90.00 90.00 90.00
Atoms (fractional coordinates):
1 Sc 0.178 0.678 0.500
2 Sc 0.678 0.822 0.500
3 Sc 0.822 0.322 0.500
4 Sc 0.322 0.178 0.500
5 Mn 0.000 0.000 0.000
6 Mn 0.500 0.500 0.000
7 Cd 0.361 0.861 0.000
8 Cd 0.861 0.639 0.000
9 Cd 0.639 0.139 0.000
10 Cd 0.139 0.361 0.000

# Sr2MgGa3

A relaxed structure of Sr2MgGa3 (PBE, Alexandria).

Raw total energy   -2.710 eV/atom
Energy relative to the elements   -2.2 eV per formula unit
Fermi-level density of states   4.4 states/eV/cell
ρ   4.2 g cm⁻³
Spin magnetization   0.0 μB/cell

Lattice parameters (Å, degrees): 6.284 6.284 9.153 107.18 107.18 98.01
Atoms (fractional coordinates):
1 Sr 0.250 0.750 0.500
2 Sr 0.747 0.747 0.000
3 Sr 0.750 0.250 0.500
4 Sr 0.253 0.253 0.000
5 Mg 0.668 0.668 0.335
6 Mg 0.332 0.332 0.665
7 Ga 0.323 0.840 0.163
8 Ga 0.160 0.677 0.837
9 Ga 0.677 0.160 0.837
10 Ga 0.840 0.323 0.163
11 Ga 0.162 0.162 0.324
12 Ga 0.838 0.838 0.676

# CaAu2

A relaxed structure of CaAu2 (PBE, Alexandria).

Raw total energy   -3.490 eV/atom
Energy relative to the elements   -1.9 eV per formula unit
Fermi-level density of states   1.3 states/eV/cell
ρ   10.9 g cm⁻³
Spin magnetization   0.0 μB/cell

Lattice parameters (Å, degrees): 8.805 8.805 4.831 57.29 57.29 25.10
Atoms (fractional coordinates):
1 Au 0.368 0.368 0.267
2 Au 0.707 0.707 0.588
3 Au 0.571 0.571 0.356
4 Au 0.910 0.910 0.677
5 Ca 0.036 0.036 0.926
6 Ca 0.242 0.242 0.019

# U6Se8S

A relaxed structure of U6Se8S (PBE, Alexandria).

Raw total energy   -7.762 eV/atom
Energy relative to the elements, uncorrected   -1.113 eV/atom
Fermi-level density of states   25.3 states/eV/cell
ρ   8.1 g cm⁻³
Spin magnetization   13.9 μB/cell

Lattice parameters (Å, degrees): 6.944 6.944 11.075 71.73 71.73 60.00
Atoms (fractional coordinates):
1 U 0.377 0.054 0.838
2 U 0.946 0.269 0.162
3 U 0.269 0.623 0.162
4 U 0.731 0.377 0.838
5 U 0.054 0.731 0.838
6 U 0.623 0.946 0.162
7 Se 0.553 0.235 0.318
8 Se 0.765 0.106 0.682
9 Se 0.106 0.447 0.682
10 Se 0.667 0.667 0.000
11 Se 0.333 0.333 0.000
12 Se 0.894 0.553 0.318
13 Se 0.235 0.894 0.318
14 Se 0.447 0.765 0.682
15 S 0.000 0.000 0.000

# MgTaAs

A relaxed structure of MgTaAs (PBE, Alexandria).

Excess energy over the best structure of this formula in the dataset   724 meV per atom
Raw total energy   -5.415 eV/atom
Energy relative to the elements   1.9 eV per formula unit
Fermi-level density of states   2.8 states/eV/cell
ρ   7.3 g cm⁻³
Spin magnetization   0.0 μB/cell

Lattice parameters (Å, degrees): 4.482 4.482 4.482 60.00 60.00 60.00
Atoms (fractional coordinates):
1 As 0.000 0.000 0.000
2 Mg 0.500 0.500 0.500
3 Ta 0.250 0.250 0.250